NbNi | PBE | relaxed

SG: No. 216
ΔE_f (meV/atom): 1141
Total magnetization (μB per cell): 0.8
DFT total energy (Ry per atom): -0.4917

Cell: 3.8538 3.8538 3.8538 Å, 60.00 60.00 60.00°
Last column: nearest neighbours and their distance in Å.
Fractional positions:
Ni1 0.2500 0.2500 0.2500  4 Nb 2.36
Nb1 0.0000 0.0000 0.0000  4 Ni 2.36

=====

NbNi2 | PBE | relaxed

SG: No. 227
ΔE_f (meV/atom): -180
Total magnetization (μB per cell): 0.6
DFT total energy (Ry per atom): -0.5333

Cell: 4.7944 4.7944 4.7944 Å, 60.00 60.00 60.00°
Last column: nearest neighbours and their distance in Å.
Fractional positions:
Ni1 0.6250 0.6250 0.1250  6 Ni 2.40
Ni2 0.6250 0.6250 0.6250  6 Ni 2.40
Ni3 0.6250 0.1250 0.6250  6 Ni 2.40
Ni4 0.1250 0.6250 0.6250  6 Ni 2.40
Nb1 0.2500 0.2500 0.2500  12 Ni 2.81, 4 Nb 2.94
Nb2 0.0000 0.0000 0.0000  12 Ni 2.81, 4 Nb 2.94

=====

NbNi2 | PBE | relaxed

SG: No. 166
ΔE_f (meV/atom): 2630
Total magnetization (μB per cell): 1.8
DFT total energy (Ry per atom): -0.3268

Cell: 7.5178 7.5178 7.5178 Å, 59.93 59.93 59.93°
Last column: nearest neighbours and their distance in Å.
Fractional positions:
Ni1 0.3750 0.3750 0.3750  2 Nb 2.30
Ni2 0.8750 0.3750 0.3750  2 Nb 2.30
Ni3 0.3750 0.3750 0.8750  2 Nb 2.30
Ni4 0.3750 0.8750 0.3750  2 Nb 2.30
Nb1 0.4999 0.4999 0.4999  4 Ni 2.30
Nb2 0.2501 0.2501 0.2501  4 Ni 2.30